No. 1
A geometry-optimized TlIn3 structure. Source: the Alexandria database, functional PBE.

Cell lengths 11.246, 11.246, 11.246 Å; angles 17.44, 17.44, 17.44 degrees
Sites, in units of the cell vectors:
1 In 0.753 0.753 0.753
2 In 0.500 0.500 0.500
3 In 0.247 0.247 0.247
4 Tl 0.000 0.000 0.000

Properties
- magnetic moment (μB/f.u.) = 0.00
- energy relative to the elements (eV per atom) = 0.00
- DFT total energy (eV/atom) = -2.6453

No. 2
A geometry-optimized MgIn6Sn12 structure. Source: the Alexandria database, functional PBE.

Cell lengths 8.175, 8.175, 8.175 Å; angles 95.66, 95.66, 95.66 degrees
Sites, in units of the cell vectors:
1 Sn 0.508 0.198 0.528
2 Sn 0.211 0.740 0.859
3 Sn 0.198 0.528 0.508
4 Sn 0.492 0.802 0.472
5 Sn 0.740 0.859 0.211
6 Sn 0.859 0.211 0.740
7 Sn 0.802 0.472 0.492
8 Sn 0.528 0.508 0.198
9 Sn 0.472 0.492 0.802
10 Sn 0.260 0.141 0.789
11 Sn 0.141 0.789 0.260
12 Sn 0.789 0.260 0.141
13 In 0.080 0.155 0.408
14 In 0.408 0.080 0.155
15 In 0.920 0.845 0.592
16 In 0.845 0.592 0.920
17 In 0.592 0.920 0.845
18 In 0.155 0.408 0.080
19 Mg 0.000 0.000 0.000

Properties
- magnetic moment (μB/f.u.) = 0.00
- energy relative to the elements (eV per atom) = 0.07
- DFT total energy (eV/atom) = -3.4047

No. 3
A geometry-optimized BaSrSi2 structure. Source: the Alexandria database, functional PBE.

Cell lengths 5.470, 5.470, 5.470 Å; angles 60.00, 60.00, 60.00 degrees
Sites, in units of the cell vectors:
1 Sr 0.750 0.750 0.750
2 Si 0.250 0.250 0.250
3 Si 0.000 0.000 0.000
4 Ba 0.500 0.500 0.500

Properties
- formation energy (no corrections) (eV/atom) = 0.32
- magnetic moment (μB/f.u.) = 0.00
- energy relative to the lowest polymorph listed for this composition (meV/atom) = 756
- DFT total energy (eV/atom) = -3.2949

No. 4
A geometry-optimized La2TbDy9 structure. Source: the Alexandria database, functional PBE.

Cell lengths 5.062, 5.062, 15.204 Å; angles 90.00, 90.00, 90.00 degrees
Sites, in units of the cell vectors:
1 La 0.000 0.000 0.334
2 La 0.000 0.000 0.666
3 Dy 0.000 0.500 0.837
4 Dy 0.500 0.000 0.163
5 Dy 0.500 0.500 0.000
6 Dy 0.000 0.500 0.500
7 Dy 0.500 0.000 0.500
8 Dy 0.500 0.000 0.837
9 Dy 0.500 0.500 0.331
10 Dy 0.000 0.500 0.163
11 Dy 0.500 0.500 0.669
12 Tb 0.000 0.000 0.000

Properties
- magnetic moment (μB/f.u.) = 0.00
- energy relative to the elements (eV per atom) = 0.03
- energy relative to the lowest polymorph listed for this composition (meV/atom) = 0
- DFT total energy (eV/atom) = -4.6309